The following is a GGA-PBE calculation of a relaxed InNiHg2 crystal, from Alexandria via LeMat-Bulk.

* calculated formation energy: 0.2897 eV/atom

Cell lengths 5.065, 5.065, 3.370 Å; angles 90.00, 90.00, 110.38 degrees
Sites, in units of the cell vectors:
Hg 0.000 0.000 0.000
Hg 0.500 0.500 0.000
In 0.500 0.000 0.500
Ni 0.000 0.500 0.500


The following is a GGA-PBE calculation of a relaxed Li2DyEr2Pb2 crystal, from Alexandria via LeMat-Bulk.

* calculated formation energy: -0.2906 eV/atom

Cell lengths 4.830, 4.830, 9.236 Å; angles 74.84, 74.84, 60.00 degrees
Sites, in units of the cell vectors:
Li 0.595 0.595 0.216
Li 0.405 0.405 0.784
Dy 0.000 0.000 0.000
Er 0.129 0.129 0.612
Er 0.871 0.871 0.388
Pb 0.736 0.736 0.791
Pb 0.264 0.264 0.209


The highest calculated formation energy belongs to which entry?
InNiHg2